Density functional theory data (GGA+U) for K3CrF7 after structural relaxation.

Cell lengths 8.694, 8.565, 6.362 Å; angles 90.00, 129.22, 90.00 degrees
Space group Cm (No. 8)
One atom of each set of equivalent atoms:
1 K 0.000 0.000 0.000 x2
2 K 0.495 0.236 0.532 x4
3 Cr 0.031 0.500 0.074 x2
4 F 0.100 0.284 0.204 x4
5 F 0.186 0.500 0.956 x2
6 F 0.290 0.500 0.458 x2
7 F 0.343 0.135 0.769 x4
8 F 0.371 0.000 0.186 x2

electronic total energy	-4.797	eV/atom
density of states at the Fermi level	0.00	states/eV per atom